Material: CeSc7
Method: DFT, PBE
State: relaxed

```
CeSc7
1.0
0.000 4.635 4.635
4.635 0.000 4.635
4.635 4.635 0.000
Ce Sc
1 7
Direct
0.000 0.000 0.000
0.000 0.000 0.500
0.000 0.500 0.000
0.000 0.500 0.500
0.500 0.000 0.000
0.500 0.000 0.500
0.500 0.500 0.000
0.500 0.500 0.500
```

ΔH_f (0 K) ... 0.042 eV/atom
Size of the total moment ... 0.0 μB/f.u.
Volume ... 24.89 Å³ per atom